VASP calculation (PBE+U) on a relaxed structure of LiCr2Mo3O12.

```
LiCr2Mo3O12
1.0
6.873 0.006 -0.003
1.490 6.810 -0.011
0.895 2.369 11.659
Cr O Mo Li
4 24 6 2
direct
0.304 0.772 0.627
0.694 0.834 0.980
0.306 0.166 0.020
0.696 0.228 0.373
0.941 0.370 0.651
0.321 0.690 0.797
0.007 0.801 0.638
0.059 0.630 0.349
0.220 0.257 0.830
0.993 0.199 0.362
0.385 0.866 0.998
0.289 0.057 0.635
0.681 0.957 0.782
0.615 0.134 0.002
0.299 0.848 0.455
0.780 0.743 0.170
0.661 0.514 0.396
0.604 0.732 0.614
0.679 0.310 0.203
0.396 0.268 0.386
0.288 0.459 0.031
0.711 0.943 0.365
0.319 0.043 0.218
0.007 0.184 0.051
0.339 0.486 0.604
0.712 0.541 0.969
0.993 0.816 0.949
0.701 0.152 0.545
0.249 0.705 0.943
0.195 0.293 0.681
0.805 0.707 0.319
0.254 0.090 0.356
0.751 0.295 0.057
0.746 0.910 0.644
0.674 0.440 0.581
0.326 0.560 0.419
```

Electronic total energy: -7.163 eV/atom
SG: P-1, No. 2
Crystal system: triclinic
Calculated density: 3.59 g cm⁻³



VASP calculation (PBE+U) on a relaxed structure of Li2Cr2MoO6.

```
Li2Cr2MoO6
1.0
-5.118 -0.490 -1.218
2.763 -4.187 1.660
-0.427 2.612 4.524
O Li Cr Mo
6 2 2 1
direct
0.258 0.258 0.288
0.411 0.061 0.717
0.061 0.411 0.717
0.939 0.589 0.283
0.742 0.742 0.712
0.589 0.939 0.283
0.186 0.814 0.000
0.814 0.186 0.000
0.665 0.335 0.500
0.335 0.665 0.500
0.000 0.000 0.500
```

Electronic total energy: -6.963 eV/atom
SG: C2/m, No. 12
Crystal system: monoclinic
Calculated density: 4.32 g cm⁻³



VASP calculation (PBE+U) on a relaxed structure of LiCrMo2O8.

```
LiCrMo2O8
1.0
-4.810 -2.679 -4.036
6.195 -1.046 -3.567
2.006 -4.947 5.325
O Cr Mo Li
16 2 4 2
direct
0.252 0.469 0.958
0.748 0.531 0.042
0.016 0.111 0.665
0.382 0.442 0.662
0.618 0.558 0.338
0.984 0.889 0.335
0.753 0.082 0.037
0.409 0.016 0.676
0.771 0.767 0.748
0.247 0.918 0.963
0.591 0.984 0.324
0.229 0.233 0.252
0.805 0.364 0.717
0.071 0.661 0.607
0.929 0.339 0.393
0.195 0.636 0.283
0.913 0.601 0.322
0.087 0.399 0.678
0.169 0.924 0.719
0.326 0.473 0.211
0.674 0.527 0.789
0.831 0.076 0.281
0.270 0.951 0.245
0.730 0.049 0.755
```

Electronic total energy: -7.032 eV/atom
SG: P-1, No. 2
Crystal system: triclinic
Calculated density: 3.76 g cm⁻³